No. 1
# PmCd3Cu8

A geometry-optimized PmCd3Cu8 structure (GGA-PBE, the Alexandria database).

Values from the calculation:
Crystal system: trigonal
Excess energy over the best structure of this formula in the dataset: 0.0 meV per atom
Total DFT energy (no corrections): -41.32 eV per cell
ΔE_f: -0.088 eV/atom

a b c (Å): 5.076 5.076 8.920
angles (deg): 73.47 73.47 60.00
Sites, in units of the cell vectors:
Pm (0.876, 0.876, 0.373)
Cu (0.937, 0.937, 0.691)
Cu (0.440, 0.941, 0.180)
Cu (0.937, 0.435, 0.691)
Cu (0.187, 0.187, 0.439)
Cu (0.435, 0.937, 0.691)
Cu (0.941, 0.440, 0.180)
Cu (0.440, 0.440, 0.180)
Cu (0.688, 0.688, 0.936)
Cd (0.493, 0.493, 0.522)
Cd (0.374, 0.374, 0.878)
Cd (0.004, 0.004, 0.989)



No. 2
# Pm2CdCu

A geometry-optimized Pm2CdCu structure (GGA-PBE, the Alexandria database).

Values from the calculation:
Crystal system: cubic
Excess energy over the best structure of this formula in the dataset: 37.4 meV per atom
Total DFT energy (no corrections): -15.28 eV per cell
ΔE_f: -0.193 eV/atom

a b c (Å): 5.254 5.254 5.254
angles (deg): 60.00 60.00 60.00
Sites, in units of the cell vectors:
Pm (0.750, 0.750, 0.750)
Pm (0.250, 0.250, 0.250)
Cd (0.500, 0.500, 0.500)
Cu (0.000, 0.000, 0.000)



No. 3
# Pm4CdCu3

A geometry-optimized Pm4CdCu3 structure (GGA-PBE, the Alexandria database).

Values from the calculation:
Crystal system: orthorhombic
Total DFT energy (no corrections): -33.62 eV per cell
ΔE_f: -0.176 eV/atom

a b c (Å): 3.631 5.184 10.250
angles (deg): 90.00 90.00 90.00
Sites, in units of the cell vectors:
Cu (0.500, 0.500, 0.500)
Cu (0.500, 0.000, 0.247)
Cu (0.500, 0.000, 0.753)
Pm (0.000, 0.000, 0.000)
Pm (0.000, 0.000, 0.500)
Pm (0.000, 0.500, 0.735)
Pm (0.000, 0.500, 0.265)
Cd (0.500, 0.500, 0.000)



No. 4
# Pm6Cd2Cu

A geometry-optimized Pm6Cd2Cu structure (GGA-PBE, the Alexandria database).

Values from the calculation:
Crystal system: monoclinic
Total DFT energy (no corrections): -33.52 eV per cell
ΔE_f: 0.101 eV/atom

a b c (Å): 5.250 7.465 8.740
angles (deg): 115.28 107.39 90.00
Sites, in units of the cell vectors:
Pm (0.841, 0.087, 0.683)
Pm (0.500, 0.778, 0.000)
Pm (0.159, 0.913, 0.317)
Pm (0.841, 0.596, 0.683)
Pm (0.500, 0.222, 0.000)
Pm (0.159, 0.404, 0.317)
Cd (0.335, 0.335, 0.671)
Cd (0.665, 0.665, 0.329)
Cu (0.000, 0.000, 0.000)



No. 5
# Pm2Cd2Cu3

A geometry-optimized Pm2Cd2Cu3 structure (GGA-PBE, the Alexandria database).

Values from the calculation:
Crystal system: monoclinic
Total DFT energy (no corrections): -24.78 eV per cell
ΔE_f: -0.166 eV/atom

a b c (Å): 4.390 5.989 6.824
angles (deg): 115.65 90.00 111.50
Sites, in units of the cell vectors:
Pm (0.143, 0.287, 0.765)
Pm (0.857, 0.713, 0.235)
Cu (0.500, 0.000, 0.000)
Cu (0.427, 0.853, 0.591)
Cu (0.573, 0.147, 0.409)
Cd (0.154, 0.309, 0.263)
Cd (0.846, 0.691, 0.737)



No. 6
# Pm2CdCu5

A geometry-optimized Pm2CdCu5 structure (GGA-PBE, the Alexandria database).

Values from the calculation:
Crystal system: tetragonal
Total DFT energy (no corrections): -31.15 eV per cell
ΔE_f: -0.032 eV/atom

a b c (Å): 5.988 5.988 5.988
angles (deg): 95.32 116.98 116.98
Sites, in units of the cell vectors:
Cu (0.000, 0.277, 0.277)
Cu (0.608, 0.306, 0.306)
Cu (0.000, 0.306, 0.698)
Cu (0.000, 0.698, 0.306)
Cu (0.392, 0.698, 0.698)
Cd (0.000, 0.944, 0.944)
Pm (0.500, 0.747, 0.247)
Pm (0.500, 0.247, 0.747)



No. 7
# Pm2CdCu

A geometry-optimized Pm2CdCu structure (GGA-PBE, the Alexandria database).

Values from the calculation:
Crystal system: tetragonal
Excess energy over the best structure of this formula in the dataset: 0.0 meV per atom
Total DFT energy (no corrections): -15.43 eV per cell
ΔE_f: -0.230 eV/atom

a b c (Å): 3.646 3.646 7.634
angles (deg): 90.00 90.00 90.00
Sites, in units of the cell vectors:
Pm (0.000, 0.000, 0.225)
Pm (0.000, 0.000, 0.775)
Cd (0.500, 0.500, 0.500)
Cu (0.500, 0.500, 0.000)



No. 8
# Pm2Cd5Cu

A geometry-optimized Pm2Cd5Cu structure (GGA-PBE, the Alexandria database).

Values from the calculation:
Crystal system: monoclinic
Total DFT energy (no corrections): -18.88 eV per cell
ΔE_f: -0.088 eV/atom

a b c (Å): 4.698 4.698 11.175
angles (deg): 77.78 77.78 60.17
Sites, in units of the cell vectors:
Pm (0.913, 0.913, 0.260)
Pm (0.087, 0.087, 0.740)
Cd (0.646, 0.646, 0.061)
Cd (0.196, 0.196, 0.412)
Cd (0.500, 0.500, 0.500)
Cd (0.354, 0.354, 0.939)
Cd (0.804, 0.804, 0.588)
Cu (0.000, 0.000, 0.000)



No. 9
# PmCd4Cu

A geometry-optimized PmCd4Cu structure (GGA-PBE, the Alexandria database).

Values from the calculation:
Crystal system: orthorhombic
Excess energy over the best structure of this formula in the dataset: 0.0 meV per atom
Total DFT energy (no corrections): -27.39 eV per cell
ΔE_f: -0.198 eV/atom

a b c (Å): 4.282 7.510 8.323
angles (deg): 90.00 90.00 90.00
Sites, in units of the cell vectors:
Pm (0.000, 0.609, 0.750)
Pm (0.000, 0.391, 0.250)
Cd (0.500, 0.938, 0.750)
Cd (0.500, 0.687, 0.442)
Cd (0.500, 0.313, 0.942)
Cd (0.000, 0.000, 0.000)
Cd (0.500, 0.313, 0.558)
Cd (0.500, 0.687, 0.058)
Cd (0.500, 0.062, 0.250)
Cd (0.000, 0.000, 0.500)
Cu (0.000, 0.216, 0.750)
Cu (0.000, 0.784, 0.250)



No. 10
# Pm12Cd6Cu

A geometry-optimized Pm12Cd6Cu structure (GGA-PBE, the Alexandria database).

Values from the calculation:
Crystal system: trigonal
Total DFT energy (no corrections): -68.39 eV per cell
ΔE_f: -0.094 eV/atom

a b c (Å): 8.197 8.197 8.197
angles (deg): 88.73 88.73 88.73
Sites, in units of the cell vectors:
Pm (0.806, 0.529, 0.446)
Pm (0.142, 0.363, 0.022)
Pm (0.022, 0.142, 0.363)
Pm (0.978, 0.858, 0.637)
Pm (0.471, 0.554, 0.194)
Pm (0.194, 0.471, 0.554)
Pm (0.363, 0.022, 0.142)
Pm (0.554, 0.194, 0.471)
Pm (0.637, 0.978, 0.858)
Pm (0.529, 0.446, 0.806)
Pm (0.446, 0.806, 0.529)
Pm (0.858, 0.637, 0.978)
Cd (0.261, 0.108, 0.742)
Cd (0.739, 0.892, 0.258)
Cd (0.742, 0.261, 0.108)
Cd (0.892, 0.258, 0.739)
Cd (0.258, 0.739, 0.892)
Cd (0.108, 0.742, 0.261)
Cu (0.000, 0.000, 0.000)



No. 11
# Pm2CdCu3

A geometry-optimized Pm2CdCu3 structure (GGA-PBE, the Alexandria database).

Values from the calculation:
Crystal system: orthorhombic
Excess energy over the best structure of this formula in the dataset: 5.1 meV per atom
Total DFT energy (no corrections): -47.64 eV per cell
ΔE_f: -0.186 eV/atom

a b c (Å): 5.826 5.826 8.532
angles (deg): 105.64 105.64 102.14
Sites, in units of the cell vectors:
Pm (0.750, 0.250, 0.500)
Pm (0.250, 0.750, 0.500)
Pm (0.759, 0.759, 0.000)
Pm (0.241, 0.241, 0.000)
Cu (0.161, 0.161, 0.322)
Cu (0.161, 0.677, 0.838)
Cu (0.839, 0.839, 0.678)
Cu (0.839, 0.323, 0.162)
Cu (0.323, 0.839, 0.162)
Cu (0.677, 0.161, 0.838)
Cd (0.666, 0.666, 0.332)
Cd (0.334, 0.334, 0.668)



No. 12
# Pm2CdCu16

A geometry-optimized Pm2CdCu16 structure (GGA-PBE, the Alexandria database).

Values from the calculation:
Crystal system: trigonal
Total DFT energy (no corrections): -77.89 eV per cell
ΔE_f: -0.102 eV/atom

a b c (Å): 6.566 6.566 6.566
angles (deg): 82.96 82.96 82.96
Sites, in units of the cell vectors:
Cu (0.701, 0.300, 0.000)
Cu (0.003, 0.003, 0.493)
Cu (0.651, 0.159, 0.651)
Cu (0.493, 0.003, 0.003)
Cu (0.846, 0.343, 0.343)
Cu (0.000, 0.300, 0.701)
Cu (0.000, 0.701, 0.300)
Cu (0.651, 0.651, 0.159)
Cu (0.300, 0.701, 0.000)
Cu (0.300, 0.000, 0.701)
Cu (0.159, 0.651, 0.651)
Cu (0.343, 0.343, 0.846)
Cu (0.003, 0.493, 0.003)
Cu (0.343, 0.846, 0.343)
Cu (0.701, 0.000, 0.300)
Cu (0.109, 0.109, 0.109)
Pm (0.343, 0.343, 0.343)
Pm (0.649, 0.649, 0.649)
Cd (0.905, 0.905, 0.905)